1.
A relaxed LiLa2Os2 crystal. Source: the Alexandria database, functional PBE-GGA.

a b c (Å): 7.434 7.434 4.303
angles (deg): 90.00 90.00 90.00
Fractional positions:
Li 0.000 0.000 0.000
Li 0.500 0.500 0.000
La 0.181 0.319 0.500
La 0.319 0.819 0.500
La 0.681 0.181 0.500
La 0.819 0.681 0.500
Os 0.115 0.615 0.000
Os 0.385 0.115 0.000
Os 0.615 0.885 0.000
Os 0.885 0.385 0.000

Results
Formation energy from the elements, eV/atom: 0.191
SG: P4/mbm (127)

2.
A relaxed LiLaOs2 crystal. Source: the Alexandria database, functional PBE-GGA.

a b c (Å): 6.581 6.581 6.581
angles (deg): 90.00 90.00 90.00
Fractional positions:
Li 0.000 0.000 0.000
Li 0.000 0.500 0.500
Li 0.500 0.000 0.500
Li 0.500 0.500 0.000
La 0.250 0.250 0.250
La 0.250 0.750 0.750
La 0.750 0.250 0.750
La 0.750 0.750 0.250
Os 0.000 0.000 0.500
Os 0.000 0.500 0.000
Os 0.250 0.250 0.750
Os 0.250 0.750 0.250
Os 0.500 0.000 0.000
Os 0.500 0.500 0.500
Os 0.750 0.250 0.250
Os 0.750 0.750 0.750

Results
Formation energy from the elements, eV/atom: 0.445
SG: F-43m (216)
Polymorph energy (0 for the lowest one), meV per atom: 440

3.
A relaxed LiLa2Os crystal. Source: the Alexandria database, functional PBE-GGA.

a b c (Å): 3.568 3.568 7.800
angles (deg): 90.00 90.00 90.00
Fractional positions:
Li 0.000 0.000 0.000
La 0.000 0.000 0.355
La 0.500 0.500 0.778
Os 0.500 0.500 0.115

Results
Formation energy from the elements, eV/atom: 0.176
SG: P4mm (99)
Polymorph energy (0 for the lowest one), meV per atom: 234

4.
A relaxed LiLaOs2 crystal. Source: the Alexandria database, functional PBE-GGA.

a b c (Å): 3.022 5.038 9.962
angles (deg): 90.00 90.00 90.00
Fractional positions:
Li 0.000 0.000 0.000
Li 0.500 0.500 0.500
La 0.000 0.500 0.213
La 0.500 0.000 0.713
Os 0.000 0.000 0.441
Os 0.000 0.500 0.735
Os 0.500 0.000 0.235
Os 0.500 0.500 0.941

Results
Formation energy from the elements, eV/atom: 0.464
SG: Imm2 (44)
Polymorph energy (0 for the lowest one), meV per atom: 460

5.
A relaxed LiLaOs2 crystal. Source: the Alexandria database, functional PBE-GGA.

a b c (Å): 2.915 4.715 5.044
angles (deg): 90.00 95.00 90.00
Fractional positions:
Li 0.000 0.000 0.000
La 0.500 0.000 0.500
Os 0.208 0.500 0.779
Os 0.792 0.500 0.221

Results
Formation energy from the elements, eV/atom: 0.396
SG: P2/m (10)
Polymorph energy (0 for the lowest one), meV per atom: 391

6.
A relaxed LiLaOs2 crystal. Source: the Alexandria database, functional PBE-GGA.

a b c (Å): 3.939 3.939 4.589
angles (deg): 90.00 90.00 90.00
Fractional positions:
Li 0.000 0.000 0.000
La 0.500 0.500 0.000
Os 0.000 0.500 0.500
Os 0.500 0.000 0.500

Results
Formation energy from the elements, eV/atom: 0.466
SG: P4/mmm (123)
Polymorph energy (0 for the lowest one), meV per atom: 461

7.
A relaxed LiLaOs2 crystal. Source: the Alexandria database, functional PBE-GGA.

a b c (Å): 2.952 4.785 9.665
angles (deg): 90.00 90.00 90.00
Fractional positions:
Li 0.000 0.000 0.000
Li 0.500 0.500 0.000
La 0.000 0.000 0.500
La 0.500 0.500 0.500
Os 0.000 0.500 0.231
Os 0.000 0.500 0.769
Os 0.500 0.000 0.231
Os 0.500 0.000 0.769

Results
Formation energy from the elements, eV/atom: 0.622
SG: Cmmm (65)
Polymorph energy (0 for the lowest one), meV per atom: 617

8.
A relaxed LiLaPaOs crystal. Source: the Alexandria database, functional PBE-GGA.

a b c (Å): 7.070 7.070 7.070
angles (deg): 90.00 90.00 90.00
Fractional positions:
Li 0.000 0.000 0.000
Li 0.000 0.500 0.500
Li 0.500 0.000 0.500
Li 0.500 0.500 0.000
La 0.250 0.250 0.250
La 0.250 0.750 0.750
La 0.750 0.250 0.750
La 0.750 0.750 0.250
Pa 0.250 0.250 0.750
Pa 0.250 0.750 0.250
Pa 0.750 0.250 0.250
Pa 0.750 0.750 0.750
Os 0.000 0.000 0.500
Os 0.000 0.500 0.000
Os 0.500 0.000 0.000
Os 0.500 0.500 0.500

Results
Formation energy from the elements, eV/atom: 0.092
SG: F-43m (216)

9.
A relaxed LiLaPmOs crystal. Source: the Alexandria database, functional PBE-GGA.

a b c (Å): 7.185 7.185 7.185
angles (deg): 90.00 90.00 90.00
Fractional positions:
Li 0.000 0.000 0.000
Li 0.000 0.500 0.500
Li 0.500 0.000 0.500
Li 0.500 0.500 0.000
La 0.250 0.250 0.750
La 0.250 0.750 0.250
La 0.750 0.250 0.250
La 0.750 0.750 0.750
Pm 0.250 0.250 0.250
Pm 0.250 0.750 0.750
Pm 0.750 0.250 0.750
Pm 0.750 0.750 0.250
Os 0.000 0.000 0.500
Os 0.000 0.500 0.000
Os 0.500 0.000 0.000
Os 0.500 0.500 0.500

Results
Formation energy from the elements, eV/atom: -0.081
SG: F-43m (216)

10.
A relaxed LiLaSbOs2 crystal. Source: the Alexandria database, functional PBE-GGA.

a b c (Å): 4.938 4.938 4.714
angles (deg): 90.00 90.00 90.00
Fractional positions:
Li 0.000 0.000 0.000
La 0.500 0.500 0.000
Sb 0.000 0.000 0.500
Os 0.000 0.500 0.500
Os 0.500 0.000 0.500

Results
SG: P4/mmm (123)
DFT total energy, eV per atom: -6.0148

11.
A relaxed LiLa2ScOs crystal. Source: the Alexandria database, functional PBE-GGA.

a b c (Å): 5.642 5.642 5.152
angles (deg): 90.00 90.00 90.00
Fractional positions:
Li 0.000 0.000 0.000
La 0.000 0.500 0.500
La 0.500 0.000 0.500
Sc 0.500 0.500 0.000
Os 0.500 0.500 0.500

Results
Formation energy from the elements, eV/atom: -0.007
SG: P4/mmm (123)

12.
A relaxed SrLiLa2Os crystal. Source: the Alexandria database, functional PBE-GGA.

a b c (Å): 5.494 5.494 5.660
angles (deg): 90.00 90.00 90.00
Fractional positions:
Sr 0.000 0.000 0.000
Li 0.500 0.500 0.000
La 0.000 0.500 0.500
La 0.500 0.000 0.500
Os 0.500 0.500 0.500

Results
Formation energy from the elements, eV/atom: 0.117
SG: P4/mmm (123)
Polymorph energy (0 for the lowest one), meV per atom: 59

13.
A relaxed SrLiLa2Os crystal. Source: the Alexandria database, functional PBE-GGA.

a b c (Å): 5.539 5.539 6.170
angles (deg): 90.00 90.00 90.00
Fractional positions:
Sr 0.000 0.000 0.000
Li 0.500 0.500 0.000
La 0.000 0.500 0.500
La 0.500 0.000 0.500
Os 0.000 0.000 0.500

Results
Formation energy from the elements, eV/atom: 0.058
SG: P4/mmm (123)
Polymorph energy (0 for the lowest one), meV per atom: 0

14.
A relaxed LiLaTbOs crystal. Source: the Alexandria database, functional PBE-GGA.

a b c (Å): 7.110 7.110 7.110
angles (deg): 90.00 90.00 90.00
Fractional positions:
Li 0.000 0.000 0.000
Li 0.000 0.500 0.500
Li 0.500 0.000 0.500
Li 0.500 0.500 0.000
La 0.250 0.250 0.750
La 0.250 0.750 0.250
La 0.750 0.250 0.250
La 0.750 0.750 0.750
Tb 0.250 0.250 0.250
Tb 0.250 0.750 0.750
Tb 0.750 0.250 0.750
Tb 0.750 0.750 0.250
Os 0.000 0.000 0.500
Os 0.000 0.500 0.000
Os 0.500 0.000 0.000
Os 0.500 0.500 0.500

Results
Formation energy from the elements, eV/atom: -0.126
SG: F-43m (216)

15.
A relaxed Li2LaTcOs crystal. Source: the Alexandria database, functional PBE-GGA.

a b c (Å): 4.673 4.673 4.714
angles (deg): 90.00 90.00 90.00
Fractional positions:
Li 0.000 0.500 0.000
Li 0.500 0.000 0.000
La 0.000 0.000 0.500
Tc 0.500 0.500 0.000
Os 0.500 0.500 0.500

Results
Formation energy from the elements, eV/atom: 0.514
SG: P4/mmm (123)

16.
A relaxed LiLaYOs crystal. Source: the Alexandria database, functional PBE-GGA.

a b c (Å): 7.105 7.105 7.105
angles (deg): 90.00 90.00 90.00
Fractional positions:
Li 0.000 0.000 0.000
Li 0.000 0.500 0.500
Li 0.500 0.000 0.500
Li 0.500 0.500 0.000
La 0.250 0.250 0.250
La 0.250 0.750 0.750
La 0.750 0.250 0.750
La 0.750 0.750 0.250
Y 0.250 0.250 0.750
Y 0.250 0.750 0.250
Y 0.750 0.250 0.250
Y 0.750 0.750 0.750
Os 0.000 0.000 0.500
Os 0.000 0.500 0.000
Os 0.500 0.000 0.000
Os 0.500 0.500 0.500

Results
Formation energy from the elements, eV/atom: -0.126
SG: F-43m (216)

17.
A relaxed LiLa2YOs crystal. Source: the Alexandria database, functional PBE-GGA.

a b c (Å): 5.619 5.619 5.538
angles (deg): 90.00 90.00 90.00
Fractional positions:
Li 0.000 0.000 0.000
La 0.000 0.500 0.500
La 0.500 0.000 0.500
Y 0.500 0.500 0.000
Os 0.500 0.500 0.500

Results
Formation energy from the elements, eV/atom: -0.010
SG: P4/mmm (123)

18.
A relaxed LiLaY2Os crystal. Source: the Alexandria database, functional PBE-GGA.

a b c (Å): 5.483 5.483 5.580
angles (deg): 90.00 90.00 90.00
Fractional positions:
Li 0.000 0.000 0.000
La 0.500 0.500 0.000
Y 0.000 0.500 0.500
Y 0.500 0.000 0.500
Os 0.500 0.500 0.500

Results
Formation energy from the elements, eV/atom: 0.006
SG: P4/mmm (123)

19.
A relaxed LiLaZrOs crystal. Source: the Alexandria database, functional PBE-GGA.

a b c (Å): 6.933 6.933 6.933
angles (deg): 90.00 90.00 90.00
Fractional positions:
Li 0.000 0.000 0.000
Li 0.000 0.500 0.500
Li 0.500 0.000 0.500
Li 0.500 0.500 0.000
La 0.250 0.250 0.250
La 0.250 0.750 0.750
La 0.750 0.250 0.750
La 0.750 0.750 0.250
Zr 0.250 0.250 0.750
Zr 0.250 0.750 0.250
Zr 0.750 0.250 0.250
Zr 0.750 0.750 0.750
Os 0.000 0.000 0.500
Os 0.000 0.500 0.000
Os 0.500 0.000 0.000
Os 0.500 0.500 0.500

Results
Formation energy from the elements, eV/atom: -0.040
SG: F-43m (216)

20.
A relaxed LiLa3P crystal. Source: the Alexandria database, functional PBE-GGA.

a b c (Å): 5.682 5.682 5.682
angles (deg): 90.00 90.00 90.00
Fractional positions:
Li 0.000 0.000 0.000
La 0.000 0.500 0.500
La 0.500 0.000 0.500
La 0.500 0.500 0.000
P 0.500 0.500 0.500

Results
Formation energy from the elements, eV/atom: -0.400
SG: Pm-3m (221)
Polymorph energy (0 for the lowest one), meV per atom: 0